Compound: PRu2W
Source: the Alexandria database
Functional: PBE
Structure: optimized geometry

Summary:
E: -75.0 eV for the cell shown
Formation enthalpy at 0 K: -0.15 eV per atom
V: 14.31 Å³ per atom
Magnetization: 0.000 μB per atom
Crystal system: orthorhombic

The structure in CIF format:
```
data_PRu2W
_chemical_formula_sum 'P2 Ru4 W2'
_cell_length_a 3.657
_cell_length_b 2.857
_cell_length_c 10.954
_cell_angle_alpha 90.00
_cell_angle_beta 90.00
_cell_angle_gamma 90.00
_symmetry_space_group_name_H-M 'A m m 2'
_symmetry_Int_Tables_number 38
_symmetry_space_group_name_Hall 'A 2 -2'
loop_
_atom_site_label
_atom_site_type_symbol
_atom_site_fract_x
_atom_site_fract_y
_atom_site_fract_z
P1 P 0.000 0.000 0.000
Ru1 Ru 0.000 0.000 0.214
Ru2 Ru 0.500 0.000 0.560
W1 W 0.500 0.000 0.837
```